Entry 1:
This record from OQMD describes a relaxed Li2Zr2GaSiIr2 crystal. The functional is PBE.

Cell lengths 4.4250, 4.4250, 6.2625 Å; angles 90.00, 90.00, 90.00 degrees
Last column: nearest neighbours and their distance in Å.
Fractional coordinates of all 8 atoms:
Li (0.0000, 0.5000, 0.2496)  4 Zr 2.71, 2 Si 2.71, 2 Ga 2.71
Li (0.5000, 0.0000, 0.7504)  4 Zr 2.71, 2 Si 2.71, 2 Ga 2.71
Zr (0.0000, 0.0000, 0.0000)  4 Ir 2.68, 4 Li 2.71
Zr (0.5000, 0.5000, 0.5000)  4 Li 2.71, 4 Ir 2.74
Ga (0.0000, 0.0000, 0.5000)  4 Li 2.71, 4 Ir 2.74
Si (0.5000, 0.5000, 0.0000)  4 Ir 2.68, 4 Li 2.71
Ir (0.0000, 0.5000, 0.7576)  4 Zr 2.68-2.74, 2 Si 2.68, 2 Ga 2.74
Ir (0.5000, 0.0000, 0.2424)  4 Zr 2.68-2.74, 2 Si 2.68, 2 Ga 2.74

Entry 2:
This record from OQMD describes a relaxed AgPbSeO crystal. The functional is PBE.

Cell lengths 3.8077, 3.8077, 11.6152 Å; angles 90.00, 90.00, 90.00 degrees
Last column: nearest neighbours and their distance in Å.
Fractional coordinates of all 8 atoms:
Ag (0.2500, 0.7500, 0.0000)  4 Se 2.69, 4 Ag 2.69
Ag (0.7500, 0.2500, 0.0000)  4 Se 2.69, 4 Ag 2.69
Pb (0.2500, 0.2500, 0.3856)  1 O 2.20
Pb (0.7500, 0.7500, 0.6144)  1 O 2.20
Se (0.2500, 0.2500, 0.8369)  4 Ag 2.69
Se (0.7500, 0.7500, 0.1631)  4 Ag 2.69
O (0.2500, 0.2500, 0.5752)  1 Pb 2.20
O (0.7500, 0.7500, 0.4248)  1 Pb 2.20

Entry 3:
This record from OQMD describes a relaxed MgAlCu6 crystal. The functional is PBE.

Cell lengths 5.2185, 5.2185, 4.2762 Å; angles 90.00, 90.00, 120.00 degrees
Last column: nearest neighbours and their distance in Å.
Fractional coordinates of all 8 atoms:
Mg (0.0000, 0.0000, 0.0000)  12 Cu 2.61-2.64
Al (0.3333, 0.6667, 0.5000)  12 Cu 2.61-2.62
Cu (0.3432, 0.1716, 0.5000)  8 Cu 2.53-2.69, 2 Al 2.61, 2 Mg 2.64
Cu (0.5010, 0.0019, 0.0000)  8 Cu 2.59-2.62, 2 Mg 2.61, 2 Al 2.62
Cu (0.5010, 0.4990, 0.0000)  8 Cu 2.59-2.62, 2 Mg 2.61, 2 Al 2.62
Cu (0.8284, 0.1716, 0.5000)  8 Cu 2.53-2.69, 2 Al 2.61, 2 Mg 2.64
Cu (0.8284, 0.6568, 0.5000)  8 Cu 2.53-2.69, 2 Al 2.61, 2 Mg 2.64
Cu (0.9981, 0.4990, 0.0000)  8 Cu 2.59-2.62, 2 Mg 2.61, 2 Al 2.62

Entry 4:
This record from OQMD describes a relaxed GdCo2B2 crystal. The functional is PBE.

Cell lengths 3.5541, 3.5541, 9.5171 Å; angles 90.00, 90.00, 90.00 degrees
Last column: nearest neighbours and their distance in Å.
Fractional coordinates of all 10 atoms:
Gd (0.0000, 0.0000, 0.0000)  8 B 2.91, 8 Co 2.97
Gd (0.5000, 0.5000, 0.5000)  8 B 2.91, 8 Co 2.97
Co (0.0000, 0.5000, 0.2500)  4 B 2.00
Co (0.0000, 0.5000, 0.7500)  4 B 2.00
Co (0.5000, 0.0000, 0.2500)  4 B 2.00
Co (0.5000, 0.0000, 0.7500)  4 B 2.00
B (0.0000, 0.0000, 0.3464)  4 Co 2.00
B (0.0000, 0.0000, 0.6536)  4 Co 2.00
B (0.5000, 0.5000, 0.1536)  4 Co 2.00
B (0.5000, 0.5000, 0.8464)  4 Co 2.00

Entry 5:
This record from OQMD describes a relaxed Nd2YAl3AgPt2 crystal. The functional is PBE.

Cell lengths 4.1966, 7.2603, 7.2603 Å; angles 120.09, 90.00, 90.00 degrees
Last column: nearest neighbours and their distance in Å.
Fractional coordinates of all 9 atoms:
Nd (0.0000, 0.2095, 0.7905)  4 Pt 3.03-3.05, 1 Ag 3.06, 4 Al 3.22-3.38
Nd (0.0000, 0.7905, 0.2095)  4 Pt 3.03-3.05, 1 Ag 3.06, 4 Al 3.22-3.38
Y (0.0000, 0.6314, 0.6314)  4 Pt 2.98, 1 Ag 3.01, 2 Al 3.19
Al (0.5000, 0.2153, 0.4576)  2 Ag 2.74, 2 Pt 2.75-2.87, 1 Al 3.05
Al (0.5000, 0.4576, 0.2153)  2 Ag 2.74, 2 Pt 2.75-2.87, 1 Al 3.05
Al (0.5000, 0.9637, 0.9637)  2 Pt 2.76, 2 Ag 2.78
Ag (0.0000, 0.2156, 0.2156)  6 Al 2.74-2.78, 1 Y 3.01, 2 Nd 3.06
Pt (0.5000, 0.5465, 0.8719)  3 Al 2.75-2.87, 2 Y 2.98, 4 Nd 3.03-3.05
Pt (0.5000, 0.8719, 0.5465)  3 Al 2.75-2.87, 2 Y 2.98, 4 Nd 3.03-3.05

Entry 6:
This record from OQMD describes a relaxed HfZn2GaIr4 crystal. The functional is PBE.

Cell lengths 4.3511, 4.3511, 6.2689 Å; angles 90.00, 90.00, 90.00 degrees
Last column: nearest neighbours and their distance in Å.
Fractional coordinates of all 8 atoms:
Hf (0.0000, 0.0000, 0.0000)  8 Ir 2.73
Zn (0.0000, 0.0000, 0.5000)  8 Ir 2.64
Zn (0.5000, 0.5000, 0.0000)  8 Ir 2.73
Ga (0.5000, 0.5000, 0.5000)  8 Ir 2.64
Ir (0.0000, 0.5000, 0.2626)  4 Zn 2.64-2.73, 2 Ga 2.64, 2 Hf 2.73
Ir (0.0000, 0.5000, 0.7374)  4 Zn 2.64-2.73, 2 Ga 2.64, 2 Hf 2.73
Ir (0.5000, 0.0000, 0.2626)  4 Zn 2.64-2.73, 2 Ga 2.64, 2 Hf 2.73
Ir (0.5000, 0.0000, 0.7374)  4 Zn 2.64-2.73, 2 Ga 2.64, 2 Hf 2.73

Entry 7:
This record from OQMD describes a relaxed Al2Re3 crystal. The functional is PBE.

Cell lengths 9.6258, 9.6258, 4.9495 Å; angles 90.00, 90.00, 90.00 degrees
Last column: nearest neighbours and their distance in Å.
Fractional coordinates of all 30 atoms:
Al (0.0391, 0.3689, 0.0000)  2 Al 2.63-2.66, 4 Re 2.71-2.78
Al (0.0990, 0.0990, 0.0000)  3 Al 2.66-2.70, 6 Re 2.82-2.92
Al (0.1311, 0.5391, 0.5000)  2 Al 2.63-2.66, 4 Re 2.71-2.78
Al (0.3689, 0.0391, 0.0000)  2 Al 2.63-2.66, 4 Re 2.71-2.78
Al (0.4010, 0.5990, 0.5000)  3 Al 2.66-2.70, 6 Re 2.82-2.92
Al (0.4609, 0.8689, 0.5000)  2 Al 2.63-2.66, 4 Re 2.71-2.78
Al (0.5391, 0.1311, 0.5000)  2 Al 2.63-2.66, 4 Re 2.71-2.78
Al (0.5990, 0.4010, 0.5000)  3 Al 2.66-2.70, 6 Re 2.82-2.92
Al (0.6311, 0.9609, 0.0000)  2 Al 2.63-2.66, 4 Re 2.71-2.78
Al (0.8689, 0.4609, 0.5000)  2 Al 2.63-2.66, 4 Re 2.71-2.78
Al (0.9010, 0.9010, 0.0000)  3 Al 2.66-2.70, 6 Re 2.82-2.92
Al (0.9609, 0.6311, 0.0000)  2 Al 2.63-2.66, 4 Re 2.71-2.78
Re (0.0000, 0.0000, 0.5000)  8 Re 2.56-2.76, 4 Al 2.82
Re (0.0680, 0.2568, 0.5000)  6 Re 2.56-2.80, 4 Al 2.71-2.78
Re (0.1809, 0.8191, 0.2470)  2 Re 2.45-2.50
Re (0.1809, 0.8191, 0.7530)  2 Re 2.45-2.50
Re (0.2432, 0.5680, 0.0000)  6 Re 2.56-2.80, 4 Al 2.71-2.78
Re (0.2568, 0.0680, 0.5000)  6 Re 2.56-2.80, 4 Al 2.71-2.78
Re (0.3191, 0.3191, 0.2530)  2 Re 2.45-2.50
Re (0.3191, 0.3191, 0.7470)  2 Re 2.45-2.50
Re (0.4320, 0.7568, 0.0000)  6 Re 2.56-2.80, 4 Al 2.71-2.78
Re (0.5000, 0.5000, 0.0000)  8 Re 2.56-2.76, 4 Al 2.82
Re (0.5680, 0.2432, 0.0000)  6 Re 2.56-2.80, 4 Al 2.71-2.78
Re (0.6809, 0.6809, 0.2530)  2 Re 2.45-2.50
Re (0.6809, 0.6809, 0.7470)  2 Re 2.45-2.50
Re (0.7432, 0.9320, 0.5000)  6 Re 2.56-2.80, 4 Al 2.71-2.78
Re (0.7568, 0.4320, 0.0000)  6 Re 2.56-2.80, 4 Al 2.71-2.78
Re (0.8191, 0.1809, 0.2470)  2 Re 2.45-2.50
Re (0.8191, 0.1809, 0.7530)  2 Re 2.45-2.50
Re (0.9320, 0.7432, 0.5000)  6 Re 2.56-2.80, 4 Al 2.71-2.78

Entry 8:
This record from OQMD describes a relaxed CsUSi crystal. The functional is PBE.

Cell lengths 6.9305, 6.9305, 6.9305 Å; angles 90.00, 90.00, 90.00 degrees
Last column: nearest neighbours and their distance in Å.
Fractional coordinates of all 12 atoms:
Cs (0.0000, 0.0000, 0.0000)  4 U 3.00, 4 Si 3.00
Cs (0.0000, 0.5000, 0.5000)  4 U 3.00, 4 Si 3.00
Cs (0.5000, 0.0000, 0.5000)  4 U 3.00, 4 Si 3.00
Cs (0.5000, 0.5000, 0.0000)  4 U 3.00, 4 Si 3.00
U (0.2500, 0.2500, 0.7500)  4 Cs 3.00
U (0.2500, 0.7500, 0.2500)  4 Cs 3.00
U (0.7500, 0.2500, 0.2500)  4 Cs 3.00
U (0.7500, 0.7500, 0.7500)  4 Cs 3.00
Si (0.2500, 0.2500, 0.2500)  4 Cs 3.00
Si (0.2500, 0.7500, 0.7500)  4 Cs 3.00
Si (0.7500, 0.2500, 0.7500)  4 Cs 3.00
Si (0.7500, 0.7500, 0.2500)  4 Cs 3.00

Entry 9:
This record from OQMD describes a relaxed AcTaSn crystal. The functional is PBE.

Cell lengths 7.2482, 7.2482, 7.2482 Å; angles 90.00, 90.00, 90.00 degrees
Last column: nearest neighbours and their distance in Å.
Fractional coordinates of all 12 atoms:
Ac (0.0000, 0.0000, 0.0000)  4 Sn 3.14
Ac (0.0000, 0.5000, 0.5000)  4 Sn 3.14
Ac (0.5000, 0.0000, 0.5000)  4 Sn 3.14
Ac (0.5000, 0.5000, 0.0000)  4 Sn 3.14
Ta (0.0000, 0.0000, 0.5000)  4 Sn 3.14
Ta (0.0000, 0.5000, 0.0000)  4 Sn 3.14
Ta (0.5000, 0.0000, 0.0000)  4 Sn 3.14
Ta (0.5000, 0.5000, 0.5000)  4 Sn 3.14
Sn (0.2500, 0.2500, 0.2500)  4 Ac 3.14, 4 Ta 3.14
Sn (0.2500, 0.7500, 0.7500)  4 Ac 3.14, 4 Ta 3.14
Sn (0.7500, 0.2500, 0.7500)  4 Ac 3.14, 4 Ta 3.14
Sn (0.7500, 0.7500, 0.2500)  4 Ac 3.14, 4 Ta 3.14

Entry 10:
This record from OQMD describes a relaxed Rb2AgPbCl6 crystal. The functional is PBE.

Cell lengths 7.4826, 7.5500, 13.0096 Å; angles 90.00, 125.00, 90.00 degrees
Last column: nearest neighbours and their distance in Å.
Fractional coordinates of all 20 atoms:
Rb (0.2387, 0.0474, 0.2489)  8 Cl 3.36-3.64
Rb (0.2387, 0.4526, 0.7489)  8 Cl 3.36-3.64
Rb (0.7613, 0.5474, 0.2511)  8 Cl 3.36-3.64
Rb (0.7613, 0.9526, 0.7511)  8 Cl 3.36-3.64
Ag (0.0000, 0.0000, 0.5000)  6 Cl 2.64-2.66
Ag (0.0000, 0.5000, 0.0000)  6 Cl 2.64-2.66
Pb (0.5000, 0.0000, 0.0000)  6 Cl 2.76-2.77
Pb (0.5000, 0.5000, 0.5000)  6 Cl 2.76-2.77
Cl (0.1702, 0.2137, 0.9673)  1 Ag 2.66, 1 Pb 2.77
Cl (0.1702, 0.2863, 0.4673)  1 Ag 2.66, 1 Pb 2.77
Cl (0.2560, 0.7033, 0.9696)  1 Ag 2.65, 1 Pb 2.77
Cl (0.2560, 0.7967, 0.4696)  1 Ag 2.65, 1 Pb 2.77
Cl (0.3049, 0.0064, 0.7442)  1 Ag 2.64, 1 Pb 2.76
Cl (0.3049, 0.4936, 0.2442)  1 Ag 2.64, 1 Pb 2.76
Cl (0.6951, 0.5064, 0.7558)  1 Ag 2.64, 1 Pb 2.76
Cl (0.6951, 0.9936, 0.2558)  1 Ag 2.64, 1 Pb 2.76
Cl (0.7440, 0.2033, 0.5304)  1 Ag 2.65, 1 Pb 2.77
Cl (0.7440, 0.2967, 0.0304)  1 Ag 2.65, 1 Pb 2.77
Cl (0.8298, 0.7137, 0.5327)  1 Ag 2.66, 1 Pb 2.77
Cl (0.8298, 0.7863, 0.0327)  1 Ag 2.66, 1 Pb 2.77

Entry 11:
This record from OQMD describes a relaxed La2Nd2CBr2Cl3 crystal. The functional is PBE.

Cell lengths 9.4557, 9.4557, 8.1347 Å; angles 105.29, 105.29, 24.02 degrees
Last column: nearest neighbours and their distance in Å.
Fractional coordinates of all 10 atoms:
La (0.1446, 0.1446, 0.0921)  1 C 2.58, 2 Cl 2.87
La (0.8554, 0.8554, 0.9079)  1 C 2.58, 2 Cl 2.87
Nd (0.5000, 0.5000, 0.2141)  2 C 2.63, 1 Cl 2.85
Nd (0.5000, 0.5000, 0.7859)  2 C 2.63, 1 Cl 2.85
C (0.0000, 0.0000, 0.0000)  2 La 2.58, 4 Nd 2.63
Br (0.3321, 0.3321, 0.1782)  1 Nd 3.04, 3 La 3.07-3.35
Br (0.6679, 0.6679, 0.8218)  1 Nd 3.04, 3 La 3.07-3.35
Cl (0.0000, 0.0000, 0.5000)  4 Nd 3.05
Cl (0.3414, 0.3414, 0.6442)  1 Nd 2.85, 2 La 2.87
Cl (0.6586, 0.6586, 0.3558)  1 Nd 2.85, 2 La 2.87

Entry 12:
This record from OQMD describes a relaxed Lu2InAg crystal. The functional is PBE.

Cell lengths 7.2615, 7.2615, 7.2615 Å; angles 90.00, 90.00, 90.00 degrees
Last column: nearest neighbours and their distance in Å.
Fractional coordinates of all 16 atoms:
Lu (0.0000, 0.0000, 0.0000)  4 Lu 3.14, 4 Ag 3.14
Lu (0.0000, 0.5000, 0.5000)  4 Lu 3.14, 4 Ag 3.14
Lu (0.2500, 0.2500, 0.2500)  4 In 3.14, 4 Lu 3.14
Lu (0.2500, 0.7500, 0.7500)  4 In 3.14, 4 Lu 3.14
Lu (0.5000, 0.0000, 0.5000)  4 Lu 3.14, 4 Ag 3.14
Lu (0.5000, 0.5000, 0.0000)  4 Lu 3.14, 4 Ag 3.14
Lu (0.7500, 0.2500, 0.7500)  4 In 3.14, 4 Lu 3.14
Lu (0.7500, 0.7500, 0.2500)  4 In 3.14, 4 Lu 3.14
In (0.0000, 0.0000, 0.5000)  4 Lu 3.14, 4 Ag 3.14
In (0.0000, 0.5000, 0.0000)  4 Lu 3.14, 4 Ag 3.14
In (0.5000, 0.0000, 0.0000)  4 Lu 3.14, 4 Ag 3.14
In (0.5000, 0.5000, 0.5000)  4 Ag 3.14, 4 Lu 3.14
Ag (0.2500, 0.2500, 0.7500)  4 In 3.14, 4 Lu 3.14
Ag (0.2500, 0.7500, 0.2500)  4 In 3.14, 4 Lu 3.14
Ag (0.7500, 0.2500, 0.2500)  4 In 3.14, 4 Lu 3.14
Ag (0.7500, 0.7500, 0.7500)  4 In 3.14, 4 Lu 3.14

Calculated uncorrected energy in order - -52.84; -32.82; -28.59; -69.92; -49.52; -55.43; -265.99; -49.94; -72.50; -64.46; -53.63; -59.58 eV/cell